(A)
Density functional theory data (PBE) for a relaxed structure of KPdI2O.

Unit cell a=5.855 b=5.855 c=3.985 alpha=90.00 beta=90.00 gamma=90.00
Fractional positions:
K (0.000, 0.000, 0.000)
Pd (0.500, 0.500, 0.500)
I (0.000, 0.500, 0.500)
I (0.500, 0.000, 0.500)
O (0.500, 0.500, 0.000)

Properties
The value obtained for the total moment is 1.2 μB per cell. The value obtained for the density of states at the Fermi level is 2.034 states/eV/cell. Its crystal system is tetragonal.


(B)
Density functional theory data (PBE) for a relaxed structure of KPdI2O.

Unit cell a=6.390 b=6.390 c=4.724 alpha=90.00 beta=90.00 gamma=90.00
Fractional positions:
K (0.000, 0.000, 0.000)
Pd (0.500, 0.500, 0.500)
I (0.000, 0.500, 0.000)
I (0.500, 0.000, 0.000)
O (0.000, 0.000, 0.500)

Properties
The value obtained for the total moment is 3.1 μB per cell. The value obtained for the density of states at the Fermi level is 8.321 states/eV/cell. Its crystal system is tetragonal.


Tell me which of them is the most stable. Sure, it is (A).